A plane-wave DFT calculation with PBE was carried out for an optimized crystal structure of TbErCo4.

Computed properties:
Formation energy from the elements: -0.21 eV/atom
Energy: -38.90 eV/cell
Space group: F-43m, No. 216

Unit cell a=5.0595 b=5.0595 c=5.0595 alpha=60.00 beta=60.00 gamma=60.00
Last column: nearest neighbours and their distance in Å.
Fractional coordinates of all 6 atoms:
Co (0.1245, 0.6252, 0.6252)  6 Co 2.53
Co (0.6252, 0.6252, 0.6252)  6 Co 2.53
Co (0.6252, 0.6252, 0.1245)  6 Co 2.53
Co (0.6252, 0.1245, 0.6252)  6 Co 2.53
Tb (0.2500, 0.2500, 0.2500)  12 Co 2.97, 4 Er 3.10
Er (0.0000, 0.0000, 0.0000)  12 Co 2.97, 4 Tb 3.10

---

A plane-wave DFT calculation with PBE was carried out for an optimized crystal structure of TbEr2Co2.

Computed properties:
Formation energy from the elements: -0.17 eV/atom
Energy: -28.81 eV/cell
ΔE to the lowest computed polymorph: 0.000 eV per atom
Space group: Cmmm, No. 65

Unit cell a=3.8750 b=3.8806 c=7.5416 alpha=104.91 beta=90.00 gamma=90.00
Last column: nearest neighbours and their distance in Å.
Fractional coordinates of all 5 atoms:
Er (0.5000, 0.6523, 0.3047)  6 Co 2.83-2.88
Er (0.5000, 0.3477, 0.6953)  6 Co 2.83-2.88
Tb (0.0000, 0.0000, 0.0000)  2 Co 2.94
Co (0.0000, 0.2017, 0.4034)  2 Co 2.40
Co (0.0000, 0.7983, 0.5966)  2 Co 2.40

---

A plane-wave DFT calculation with PBE was carried out for an optimized crystal structure of Tb3Er3Co4.

Computed properties:
Formation energy from the elements: -0.16 eV/atom
Energy: -57.56 eV/cell
Space group: Amm2, No. 38

Unit cell a=4.1585 b=7.1686 c=7.1686 alpha=90.16 beta=90.00 gamma=90.00
Last column: nearest neighbours and their distance in Å.
Fractional coordinates of all 10 atoms:
Tb (0.5000, 0.1707, 0.8293)  6 Co 2.95-3.07
Tb (0.0000, 0.5004, 0.9995)  4 Co 2.87-2.93
Tb (0.0000, 0.0005, 0.4996)  4 Co 2.87-2.93
Er (0.5000, 0.8264, 0.1736)  6 Co 2.93-2.99
Er (0.5000, 0.6719, 0.6712)  6 Co 2.92-3.02
Er (0.5000, 0.3288, 0.3281)  6 Co 2.92-3.02
Co (0.0000, 0.3929, 0.6071)  1 Co 2.25
Co (0.0000, 0.8852, 0.8917)  1 Co 2.26
Co (0.0000, 0.6148, 0.3852)  1 Co 2.25
Co (0.0000, 0.1083, 0.1148)  1 Co 2.26

---

| no. | magnetization (μB per cell) |
| --- | --- |
| 1 | 3.77 |
| 2 | 0.27 |
| 3 | 0.00 |